Here is a relaxed structure of La2Tb6Nd3 from Alexandria via LeMat-Bulk. Energies are from PBE.

Cell and atoms, written as POSCAR:
```
La2Tb6Nd3
1.0
-2.413 2.413 16.818
2.413 -2.413 16.818
2.413 2.413 -16.818
La Tb Nd
2 6 3
direct
0.046 0.046 0.000
0.954 0.954 0.000
0.122 0.622 0.500
0.194 0.194 0.000
0.378 0.878 0.500
0.622 0.122 0.500
0.806 0.806 0.000
0.878 0.378 0.500
0.297 0.297 0.000
0.500 0.500 0.000
0.703 0.703 0.000
```

## Properties
Fermi-level density of states (states/eV per atom): 1.456
Energy of formation from the pure elements (eV/atom): 0.25
Excess energy over the best structure of this formula in the dataset (meV/atom): 70